First-principles (PBE-GGA) data for Cu2SiNO after structural relaxation, as listed in Alexandria via LeMat-Bulk.

Its volume is 68.0 Å³/cell. The value obtained for the size of the total moment is 0.0 μB per cell. Its formation energy (no corrections) is 879 meV per atom. The symmetry is P4/mmm (123). Its uncorrected energy is -22.50 eV/f.u.

Cell: 4.5386 4.5386 3.3027 Å, 90.00 90.00 90.00°
Positions (direct):
Cu 0.0000 0.5000 0.0000
Cu 0.5000 0.0000 0.0000
Si 0.0000 0.0000 0.0000
N 0.0000 0.0000 0.5000
O 0.5000 0.5000 0.5000